Record 1
Computed, not measured: crystalline MnAsAu4 at its relaxed geometry at the GGA-PBE level of DFT.

Cell and atoms, written as POSCAR:
```
MnAsAu4
1.0
3.786 -2.052 3.423
3.692 3.341 2.338
-0.289 1.079 5.387
Mn Au As
1 4 1
Cartesian
1.797 0.592 2.787
4.636 0.941 4.277
2.649 -0.188 5.798
4.492 1.479 6.964
2.602 2.503 5.257
0.000 0.000 0.000
```

Output
As for the total DFT energy (no corrections): -4.227 eV per atom. Its formation energy is 261 meV/atom. The value obtained for the theoretical density is 12.9 g cm⁻³. The density of states at the Fermi level comes out at 0.405 states/eV/atom.

***

Record 2
Computed, not measured: crystalline Rb4Pu3NpO12 at its relaxed geometry at the GGA-PBE level of DFT.

Cell and atoms, written as POSCAR:
```
Rb4Pu3NpO12
1.0
-6.617 0.649 -3.446
0.797 -6.985 2.580
0.320 4.825 5.719
O Pu Rb Np
12 3 4 1
Cartesian
-4.404 -4.794 -0.656
-1.016 0.288 4.717
-0.897 -2.664 3.932
0.845 -1.635 6.279
-4.604 1.153 0.919
-4.484 -1.800 0.135
-4.765 4.141 1.719
-1.532 1.332 0.553
0.272 -0.526 2.019
-2.631 -3.708 1.641
-1.416 -1.542 -0.211
-2.870 2.197 3.211
0.558 -1.080 4.149
-3.149 2.737 1.136
-2.910 -3.168 -0.433
-3.308 0.324 -1.723
-2.750 -0.756 2.426
0.160 2.412 2.859
0.398 -3.493 1.290
0.000 0.000 0.000
```

Output
As for the total DFT energy (no corrections): -8.549 eV per atom. The value obtained for the theoretical density is 7.7 g cm⁻³. The uncorrected formation energy is -4986.0 kJ/mol of formula units. The density of states at the Fermi level comes out at 0.914 states/eV/atom.